Entry 1:
Pr8Mg2Ru: relaxed, GGA-PBE.

Properties
Space-group type: C2/m, No. 12
Uncorrected energy: -4.6395 eV per atom

CIF file:
```
data_Pr8Mg2Ru
_cell_length_a 5.787
_cell_length_b 7.227
_cell_length_c 9.413
_cell_angle_alpha 109.44
_cell_angle_beta 107.90
_cell_angle_gamma 90.00
_space_group_name_H-M_alt 'P 1'
_space_group_IT_number 1
loop_
_space_group_symop_operation_xyz
'x,y,z'
loop_
_atom_site_label
_atom_site_type_symbol
_atom_site_fract_x
_atom_site_fract_y
_atom_site_fract_z
Pr1 Pr 0.399 0.600 0.798
Pr2 Pr 0.643 0.918 0.285
Pr3 Pr 0.807 0.758 0.613
Pr4 Pr 0.986 0.223 0.973
Pr5 Pr 0.193 0.242 0.387
Pr6 Pr 0.357 0.082 0.715
Pr7 Pr 0.601 0.400 0.202
Pr8 Pr 0.014 0.777 0.027
Mg1 Mg 0.814 0.308 0.628
Mg2 Mg 0.186 0.692 0.372
Ru1 Ru 0.500 0.000 0.000
```

Entry 2:
PrMgRu: relaxed, GGA-PBE.

Properties
Space-group type: Cmce, No. 64
Uncorrected energy: -5.3166 eV per atom

CIF file:
```
data_PrMgRu
_cell_length_a 6.217
_cell_length_b 6.859
_cell_length_c 7.451
_cell_angle_alpha 90.00
_cell_angle_beta 90.00
_cell_angle_gamma 116.95
_space_group_name_H-M_alt 'P 1'
_space_group_IT_number 1
loop_
_space_group_symop_operation_xyz
'x,y,z'
loop_
_atom_site_label
_atom_site_type_symbol
_atom_site_fract_x
_atom_site_fract_y
_atom_site_fract_z
Ru1 Ru 0.603 0.205 0.540
Ru2 Ru 0.897 0.795 0.040
Ru3 Ru 0.397 0.795 0.460
Ru4 Ru 0.103 0.205 0.960
Mg1 Mg 0.294 0.088 0.250
Mg2 Mg 0.206 0.912 0.750
Mg3 Mg 0.706 0.912 0.750
Mg4 Mg 0.794 0.088 0.250
Pr1 Pr 0.805 0.609 0.392
Pr2 Pr 0.695 0.391 0.892
Pr3 Pr 0.195 0.391 0.608
Pr4 Pr 0.305 0.609 0.108
```

Entry 3:
PrSmMgRu: relaxed, GGA-PBE.

Properties
Space-group type: F-43m, No. 216
Energy relative to the lowest polymorph listed for this composition: 79 meV/atom
Uncorrected energy: -5.1610 eV per atom

CIF file:
```
data_PrSmMgRu
_cell_length_a 5.175
_cell_length_b 5.175
_cell_length_c 5.175
_cell_angle_alpha 60.00
_cell_angle_beta 60.00
_cell_angle_gamma 60.00
_space_group_name_H-M_alt 'P 1'
_space_group_IT_number 1
loop_
_space_group_symop_operation_xyz
'x,y,z'
loop_
_atom_site_label
_atom_site_type_symbol
_atom_site_fract_x
_atom_site_fract_y
_atom_site_fract_z
Pr1 Pr 0.500 0.500 0.500
Ru1 Ru 0.750 0.750 0.750
Mg1 Mg 0.250 0.250 0.250
Sm1 Sm 0.000 0.000 0.000
```

Entry 4:
PrSmMgRu: relaxed, GGA-PBE.

Properties
Space-group type: P4mm, No. 99
Energy relative to the lowest polymorph listed for this composition: 0 meV/atom
Uncorrected energy: -5.2400 eV per atom

CIF file:
```
data_PrSmMgRu
_cell_length_a 3.476
_cell_length_b 3.476
_cell_length_c 8.773
_cell_angle_alpha 90.00
_cell_angle_beta 90.00
_cell_angle_gamma 90.00
_space_group_name_H-M_alt 'P 1'
_space_group_IT_number 1
loop_
_space_group_symop_operation_xyz
'x,y,z'
loop_
_atom_site_label
_atom_site_type_symbol
_atom_site_fract_x
_atom_site_fract_y
_atom_site_fract_z
Pr1 Pr 0.500 0.500 0.769
Sm1 Sm 0.500 0.500 0.374
Mg1 Mg 0.000 0.000 0.076
Ru1 Ru 0.000 0.000 0.566
```

no.,DOS(E_F) (states/eV per atom),ΔE_f (meV/atom)
1,1.198,-30
2,0.818,-100
3,1.094,-69
4,0.911,-148